[1]
DFT (PBE) results for a relaxed structure of VZnTe2.

Cell lengths 6.281, 6.281, 12.181 Å; angles 90.00, 90.00, 90.00 degrees
Fractional positions:
V: 0.000 0.000 0.000
V: 0.000 0.500 0.250
V: 0.500 0.000 0.750
V: 0.500 0.500 0.500
Zn: 0.000 0.000 0.500
Zn: 0.000 0.500 0.750
Zn: 0.500 0.000 0.250
Zn: 0.500 0.500 0.000
Te: 0.247 0.250 0.625
Te: 0.250 0.747 0.875
Te: 0.250 0.753 0.375
Te: 0.253 0.250 0.125
Te: 0.747 0.750 0.125
Te: 0.750 0.247 0.375
Te: 0.750 0.253 0.875
Te: 0.753 0.750 0.625

Computed properties:
The calculation puts the formation energy without anion corrections at -0.134 eV per atom.

---

[2]
DFT (PBE) results for a relaxed structure of VZnTe2.

Cell lengths 3.551, 3.551, 30.486 Å; angles 90.00, 90.00, 120.00 degrees
Fractional positions:
V: 0.000 0.000 0.000
V: 0.333 0.667 0.667
V: 0.667 0.333 0.333
Zn: 0.000 0.000 0.500
Zn: 0.333 0.667 0.167
Zn: 0.667 0.333 0.833
Te: 0.000 0.000 0.390
Te: 0.000 0.000 0.610
Te: 0.333 0.667 0.057
Te: 0.333 0.667 0.276
Te: 0.667 0.333 0.724
Te: 0.667 0.333 0.943

Computed properties:
The calculation puts the formation energy without anion corrections at -0.030 eV per atom.

---

[3]
DFT (PBE) results for a relaxed structure of VZnTe.

Cell lengths 3.622, 5.087, 7.985 Å; angles 105.02, 90.18, 110.77 degrees
Fractional positions:
V: 0.171 0.340 0.042
V: 0.829 0.660 0.958
Zn: 0.497 0.992 0.161
Zn: 0.503 0.008 0.839
Te: 0.205 0.412 0.706
Te: 0.795 0.588 0.294

Computed properties:
The calculation puts the formation energy without anion corrections at -0.076 eV per atom.

---

Q: Among the records above, which one has the lowest formation energy without anion corrections?
A: number 1